Record 1
GdGa2IrAu: relaxed, PBE.

Geometry as POSCAR:
```
GdGa2IrAu
1.0
4.2465 0.0000 0.0000
0.0000 4.2465 0.0000
0.0000 0.0000 10.7464
Au Ga Gd Ir
2 4 2 2
direct
0.0000 0.0000 0.0000
0.5000 0.5000 0.0000
0.5000 0.0000 0.1438
0.0000 0.0000 0.5000
0.5000 0.5000 0.5000
0.0000 0.5000 0.8562
0.0000 0.5000 0.2669
0.5000 0.0000 0.7331
0.5000 0.0000 0.3698
0.0000 0.5000 0.6302
```

## Properties
SG	P4/nmm (129)
total energy	-5.23	eV/atom

***

Record 2
Gd3Mg3GaAu2: relaxed, PBE.

Geometry as POSCAR:
```
Gd3Mg3GaAu2
1.0
7.5360 0.0000 0.0000
-3.7680 6.5264 0.0000
0.0000 0.0000 4.2617
Au Ga Gd Mg
2 1 3 3
direct
0.6667 0.3333 0.5000
0.3333 0.6667 0.5000
0.0000 0.0000 0.0000
0.4141 0.0000 0.0000
0.0000 0.4141 0.0000
0.5859 0.5859 0.0000
0.7562 0.0000 0.5000
0.2438 0.2438 0.5000
0.0000 0.7562 0.5000
```

## Properties
SG	P-62m (189)
total energy	-3.72	eV/atom

***

Record 3
NdGd2Mg3Ga2Au: relaxed, PBE.

Geometry as POSCAR:
```
NdGd2Mg3Ga2Au
1.0
-3.1420 -2.4343 -1.8922
5.1834 -4.7618 -2.4812
-3.1900 -1.0617 6.6630
Au Ga Gd Mg Nd
1 2 2 3 1
direct
0.0000 0.9954 0.9954
0.5000 0.6698 0.3325
0.5000 0.3325 0.6698
0.0000 0.5854 0.0008
0.0000 0.0008 0.5854
0.5000 0.9987 0.2450
0.5000 0.7558 0.7558
0.5000 0.2450 0.9987
0.0000 0.4166 0.4166
```

## Properties
SG	Amm2 (38)
total energy	-3.70	eV/atom

***

| no. | calculated volume (Å³ per atom) |
| --- | --- |
| 1 | 19.38 |
| 2 | 23.29 |
| 3 | 23.55 |